Entry from Alexandria: a geometry-optimized SrLi2SnAu5 structure (PBE).

a = 4.9018 Å, b = 4.9018 Å, c = 7.6278 Å
α = 90.00°, β = 90.00°, γ = 90.00°
With the nearest neighbours (Å) after each atom.
Sites, in units of the cell vectors:
Sr 0.0000 0.0000 0.5000  12 Au 3.23-3.47
Li 0.5000 0.5000 0.1610  1 Li 2.46, 5 Au 2.50-2.59
Li 0.5000 0.5000 0.8390  1 Li 2.46, 5 Au 2.50-2.59
Sn 0.0000 0.0000 0.0000  8 Au 2.98
Au 0.0000 0.5000 0.2233  2 Li 2.50
Au 0.5000 0.0000 0.2233  2 Li 2.50
Au 0.0000 0.5000 0.7767  2 Li 2.50
Au 0.5000 0.0000 0.7767  2 Li 2.50
Au 0.5000 0.5000 0.5000  2 Li 2.59

Values from the calculation:
space-group type = P4/mmm, No. 123
DOS at the Fermi energy = 0.2451 states/eV/atom
calculated formation energy = -0.366 eV per atom


Entry from Alexandria: a geometry-optimized LiTbSnAu structure (PBE).

a = 4.9932 Å, b = 4.9932 Å, c = 4.9932 Å
α = 60.00°, β = 60.00°, γ = 60.00°
With the nearest neighbours (Å) after each atom.
Sites, in units of the cell vectors:
Tb 0.7500 0.7500 0.7500  4 Sn 3.06, 4 Au 3.06
Au 0.0000 0.0000 0.0000  4 Li 3.06, 4 Tb 3.06
Sn 0.5000 0.5000 0.5000  4 Tb 3.06, 4 Li 3.06
Li 0.2500 0.2500 0.2500  4 Sn 3.06, 4 Au 3.06

Values from the calculation:
space-group type = F-43m, No. 216
DOS at the Fermi energy = 0.5815 states/eV/atom
calculated formation energy = -0.627 eV per atom


Entry from Alexandria: a geometry-optimized LiTcSn2Au structure (PBE).

a = 5.1042 Å, b = 4.8285 Å, c = 5.1042 Å
α = 90.00°, β = 90.00°, γ = 90.00°
With the nearest neighbours (Å) after each atom.
Sites, in units of the cell vectors:
Li 0.0000 0.5000 0.0000  2 Tc 2.41
Au 0.5000 0.5000 0.5000  8 Sn 3.51, 4 Li 3.61
Sn 0.0000 0.0000 0.5000  2 Tc 2.55
Sn 0.5000 0.0000 0.0000  2 Tc 2.55
Tc 0.0000 0.0000 0.0000  2 Li 2.41, 4 Sn 2.55

Values from the calculation:
space-group type = P4/mmm, No. 123
DOS at the Fermi energy = 1.0314 states/eV/atom
calculated formation energy = 0.497 eV per atom


Entry from Alexandria: a geometry-optimized LiSnTe2Au structure (PBE).

a = 4.7957 Å, b = 7.8093 Å, c = 7.9049 Å
α = 99.75°, β = 90.00°, γ = 90.00°
With the nearest neighbours (Å) after each atom.
Sites, in units of the cell vectors:
Li 0.4909 0.0000 0.2500  4 Te 3.03-3.05, 4 Au 3.07-3.14
Li 0.5091 0.0000 0.7500  4 Te 3.03-3.05, 4 Au 3.07-3.14
Sn 0.1398 0.5000 0.7500  6 Te 3.07-3.40
Sn 0.8602 0.5000 0.2500  6 Te 3.07-3.40
Te 0.6867 0.7226 0.9541  1 Au 2.61
Te 0.6867 0.2774 0.5459  1 Au 2.61
Te 0.3133 0.7226 0.4541  1 Au 2.61
Te 0.3133 0.2774 0.0459  1 Au 2.61
Au 0.0000 0.0000 0.0000  2 Te 2.61
Au 0.0000 0.0000 0.5000  2 Te 2.61

Values from the calculation:
space-group type = P2/c, No. 13
formation energy without anion corrections = -0.394 eV/atom


Entry from Alexandria: a geometry-optimized LiSn2Te4Au structure (PBE).

a = 4.2954 Å, b = 7.3370 Å, c = 7.4367 Å
α = 70.80°, β = 90.00°, γ = 90.00°
With the nearest neighbours (Å) after each atom.
Sites, in units of the cell vectors:
Li 0.0000 0.5000 0.5000  6 Te 2.94-2.96
Sn 0.0000 0.0000 0.0000  6 Te 3.09-3.11
Sn 0.5000 0.0000 0.5000  6 Te 3.10
Te 0.0000 0.7318 0.7552  1 Li 2.94, 2 Au 2.96, 3 Sn 3.09-3.10
Te 0.0000 0.2682 0.2448  1 Li 2.94, 2 Au 2.96, 3 Sn 3.09-3.10
Te 0.5000 0.7302 0.2551  1 Au 2.93, 2 Li 2.96, 3 Sn 3.10-3.11
Te 0.5000 0.2698 0.7449  1 Au 2.93, 2 Li 2.96, 3 Sn 3.10-3.11
Au 0.5000 0.5000 0.0000  6 Te 2.93-2.96

Values from the calculation:
space-group type = P2/m, No. 10
DOS at the Fermi energy = 0.4668 states/eV/atom
formation energy without anion corrections = -0.318 eV/atom


Entry from Alexandria: a geometry-optimized LiTlSnAu structure (PBE).

a = 4.9898 Å, b = 4.9898 Å, c = 4.9898 Å
α = 60.00°, β = 60.00°, γ = 60.00°
With the nearest neighbours (Å) after each atom.
Sites, in units of the cell vectors:
Tl 0.7500 0.7500 0.7500  4 Li 3.06, 4 Au 3.06
Au 0.5000 0.5000 0.5000  4 Sn 3.06, 4 Tl 3.06
Sn 0.2500 0.2500 0.2500  4 Au 3.06, 4 Li 3.06
Li 0.0000 0.0000 0.0000  4 Tl 3.06, 4 Sn 3.06

Values from the calculation:
space-group type = F-43m, No. 216
DOS at the Fermi energy = 0.4425 states/eV/atom
calculated formation energy = -0.155 eV per atom


Entry from Alexandria: a geometry-optimized Li2VSnAu structure (PBE).

a = 4.8755 Å, b = 5.1364 Å, c = 4.8755 Å
α = 90.00°, β = 90.00°, γ = 90.00°
With the nearest neighbours (Å) after each atom.
Sites, in units of the cell vectors:
Li 0.0000 0.0000 0.5000  2 Sn 2.44
Li 0.5000 0.0000 0.0000  2 Sn 2.44
Au 0.5000 0.5000 0.5000  4 V 3.45, 8 Li 3.54
Sn 0.0000 0.0000 0.0000  4 Li 2.44, 2 V 2.57
V 0.0000 0.5000 0.0000  2 Sn 2.57

Values from the calculation:
space-group type = P4/mmm, No. 123
DOS at the Fermi energy = 0.8150 states/eV/atom
calculated formation energy = 0.558 eV per atom


Entry from Alexandria: a geometry-optimized LiZn2Sn2Au5 structure (PBE).

a = 3.8842 Å, b = 9.9465 Å, c = 9.9465 Å
α = 90.00°, β = 90.00°, γ = 90.00°
With the nearest neighbours (Å) after each atom.
Sites, in units of the cell vectors:
Li 0.0000 0.0000 0.0000  8 Au 2.80
Li 0.0000 0.5000 0.5000  8 Au 2.80
Zn 0.0000 0.1334 0.6334  1 Sn 2.68, 6 Au 2.70-2.79
Zn 0.0000 0.8666 0.3666  1 Sn 2.68, 6 Au 2.70-2.79
Zn 0.0000 0.6334 0.8666  1 Sn 2.68, 6 Au 2.70-2.79
Zn 0.0000 0.3666 0.1334  1 Sn 2.68, 6 Au 2.70-2.79
Sn 0.0000 0.6764 0.1764  1 Zn 2.68, 4 Au 2.98
Sn 0.0000 0.3236 0.8236  1 Zn 2.68, 4 Au 2.98
Sn 0.0000 0.1764 0.3236  1 Zn 2.68, 4 Au 2.98
Sn 0.0000 0.8236 0.6764  1 Zn 2.68, 4 Au 2.98
Au 0.5000 0.2027 0.0157  2 Zn 2.79, 2 Li 2.80, 3 Au 2.86-2.96, 2 Sn 2.98
Au 0.5000 0.7973 0.9843  2 Zn 2.79, 2 Li 2.80, 3 Au 2.86-2.96, 2 Sn 2.98
Au 0.5000 0.0157 0.7973  2 Zn 2.79, 2 Li 2.80, 3 Au 2.86-2.96, 2 Sn 2.98
Au 0.5000 0.7027 0.4843  2 Zn 2.79, 2 Li 2.80, 3 Au 2.86-2.96, 2 Sn 2.98
Au 0.5000 0.9843 0.2027  2 Zn 2.79, 2 Li 2.80, 3 Au 2.86-2.96, 2 Sn 2.98
Au 0.5000 0.2973 0.5157  2 Zn 2.79, 2 Li 2.80, 3 Au 2.86-2.96, 2 Sn 2.98
Au 0.5000 0.5157 0.7027  2 Zn 2.79, 2 Li 2.80, 3 Au 2.86-2.96, 2 Sn 2.98
Au 0.5000 0.4843 0.2973  2 Zn 2.79, 2 Li 2.80, 3 Au 2.86-2.96, 2 Sn 2.98
Au 0.5000 0.5000 0.0000  4 Zn 2.70, 4 Au 2.96
Au 0.5000 0.0000 0.5000  4 Zn 2.70, 4 Au 2.96

Values from the calculation:
space-group type = P4/mbm, No. 127
DOS at the Fermi energy = 0.2438 states/eV/atom
calculated formation energy = -0.178 eV per atom


Entry from Alexandria: a geometry-optimized LiZn2SnAu4 structure (PBE).

a = 4.4860 Å, b = 4.4860 Å, c = 8.5410 Å
α = 74.77°, β = 74.77°, γ = 60.00°
With the nearest neighbours (Å) after each atom.
Sites, in units of the cell vectors:
Li 0.5000 0.5000 0.5000  8 Au 2.73-2.76
Zn 0.7619 0.7619 0.7142  7 Au 2.69-2.77
Zn 0.2381 0.2381 0.2858  7 Au 2.69-2.77
Sn 0.0000 0.0000 0.0000  8 Au 2.92-3.12
Au 0.3883 0.3883 0.8352  1 Li 2.73, 3 Zn 2.77, 3 Sn 2.92
Au 0.8721 0.8721 0.3836  4 Zn 2.69-2.71, 3 Li 2.76
Au 0.1279 0.1279 0.6164  4 Zn 2.69-2.71, 3 Li 2.76
Au 0.6117 0.6117 0.1648  1 Li 2.73, 3 Zn 2.77, 3 Sn 2.92

Values from the calculation:
space-group type = R-3m, No. 166
DOS at the Fermi energy = 0.3448 states/eV/atom
calculated formation energy = -0.261 eV per atom


Entry from Alexandria: a geometry-optimized LiZn2SnAu2 structure (PBE).

a = 4.5325 Å, b = 4.5325 Å, c = 6.0543 Å
α = 90.00°, β = 90.00°, γ = 120.00°
With the nearest neighbours (Å) after each atom.
Sites, in units of the cell vectors:
Li 0.0000 0.0000 0.5000  6 Zn 2.87, 2 Sn 3.03, 6 Au 3.03
Zn 0.3333 0.6667 0.6934  4 Au 2.64-2.71, 3 Li 2.87
Zn 0.6667 0.3333 0.3066  4 Au 2.64-2.71, 3 Li 2.87
Sn 0.0000 0.0000 0.0000  6 Au 3.01, 2 Li 3.03, 6 Zn 3.21
Au 0.3333 0.6667 0.2462  4 Zn 2.64-2.71
Au 0.6667 0.3333 0.7538  4 Zn 2.64-2.71

Values from the calculation:
space-group type = P-3m1, No. 164
DOS at the Fermi energy = 0.2534 states/eV/atom
calculated formation energy = -0.279 eV per atom


Entry from Alexandria: a geometry-optimized Li3Zn2Sn2Au4 structure (PBE).

a = 4.6469 Å, b = 4.6469 Å, c = 10.7669 Å
α = 90.00°, β = 90.00°, γ = 120.00°
With the nearest neighbours (Å) after each atom.
Sites, in units of the cell vectors:
Li 0.0000 0.0000 0.6269  3 Zn 2.72, 1 Li 2.73, 3 Au 2.75
Li 0.0000 0.0000 0.0000  6 Au 2.85
Li 0.0000 0.0000 0.3731  3 Zn 2.72, 1 Li 2.73, 3 Au 2.75
Zn 0.6667 0.3333 0.3308  2 Au 2.56-2.60, 3 Li 2.72
Zn 0.3333 0.6667 0.6692  2 Au 2.56-2.60, 3 Li 2.72
Sn 0.6667 0.3333 0.8236  5 Au 2.74-2.86
Sn 0.3333 0.6667 0.1764  5 Au 2.74-2.86
Au 0.6667 0.3333 0.0896  1 Zn 2.60, 4 Sn 2.84-2.86, 3 Li 2.85
Au 0.3333 0.6667 0.9104  1 Zn 2.60, 4 Sn 2.84-2.86, 3 Li 2.85
Au 0.6667 0.3333 0.5690  1 Zn 2.56, 1 Sn 2.74, 3 Li 2.75
Au 0.3333 0.6667 0.4310  1 Zn 2.56, 1 Sn 2.74, 3 Li 2.75

Values from the calculation:
space-group type = P-3m1, No. 164
DOS at the Fermi energy = 0.1312 states/eV/atom
calculated formation energy = -0.370 eV per atom


Entry from Alexandria: a geometry-optimized LiZrSnAu structure (PBE).

a = 4.8239 Å, b = 4.8239 Å, c = 4.8239 Å
α = 60.00°, β = 60.00°, γ = 60.00°
With the nearest neighbours (Å) after each atom.
Sites, in units of the cell vectors:
Au 0.7500 0.7500 0.7500  4 Li 2.95, 4 Zr 2.95
Sn 0.2500 0.2500 0.2500  4 Zr 2.95, 4 Li 2.95
Zr 0.5000 0.5000 0.5000  4 Au 2.95, 4 Sn 2.95
Li 0.0000 0.0000 0.0000  4 Sn 2.95, 4 Au 2.95

Values from the calculation:
space-group type = F-43m, No. 216
DOS at the Fermi energy = 0.6138 states/eV/atom
calculated formation energy = -0.441 eV per atom